Record 1
This record from the Alexandria database describes Ba2MgZn6Cu after structural relaxation. The functional is PBE-GGA.

a b c (Å): 6.689 6.695 7.204
angles (deg): 117.57 90.05 119.90
Space group P-1 (No. 2)
Unique sites:
Ba1 0.200 0.402 0.104 x2
Mg1 0.500 0.000 0.000 x1
Zn1 0.240 0.881 0.624 x2
Zn2 0.243 0.482 0.625 x2
Zn3 0.358 0.115 0.376 x2
Cu1 0.000 0.000 0.500 x1

Summary:
Total magnetization in μB/f.u.: 0.0
Formation energy in eV per atom: -0.144

Record 2
This record from the Alexandria database describes Ce2BiPt after structural relaxation. The functional is PBE-GGA.

a b c (Å): 3.559 3.559 8.275
angles (deg): 90.00 90.00 90.00
Space group P4/mmm (No. 123)
Unique sites:
Ce1 0.000 0.000 0.215 x2
Bi1 0.500 0.500 0.500 x1
Pt1 0.500 0.500 0.000 x1

Summary:
Total magnetization in μB/f.u.: 2.2
Formation energy in eV per atom: -0.771

Record 3
This record from the Alexandria database describes Tb4InAu7 after structural relaxation. The functional is PBE-GGA.

a b c (Å): 14.369 5.198 8.963
angles (deg): 90.00 122.90 90.00
Space group C2/m (No. 12)
Unique sites:
Tb1 0.060 0.000 0.238 x4
Tb2 0.238 0.000 0.754 x4
In1 0.000 0.500 0.500 x2
Au1 0.000 0.000 0.500 x2
Au2 0.069 0.500 0.873 x4
Au3 0.187 0.000 0.055 x4
Au4 0.198 0.500 0.506 x4

Summary:
Total magnetization in μB/f.u.: 0.0
Formation energy in eV per atom: -0.652

Record 4
This record from the Alexandria database describes Tb2YCuTe5 after structural relaxation. The functional is PBE-GGA.

a b c (Å): 4.241 18.843 12.917
angles (deg): 90.00 90.00 90.00
Space group Cmc2_1 (No. 36)
Unique sites:
Tb1 0.000 0.109 0.000 x4
Tb2 0.000 0.124 0.620 x4
Y1 0.000 0.190 0.325 x4
Cu1 0.000 0.430 0.775 x4
Te1 0.000 0.040 0.383 x4
Te2 0.000 0.286 0.991 x4
Te3 0.000 0.315 0.655 x4
Te4 0.000 0.355 0.315 x4
Te5 0.000 0.499 0.102 x4

Summary:
Total magnetization in μB/f.u.: 0.0
Formation energy without anion corrections in eV/f.u.: -10.260

Record 5
This record from the Alexandria database describes CaMn2Pb after structural relaxation. The functional is PBE-GGA.

a b c (Å): 9.652 3.422 5.503
angles (deg): 90.00 107.86 90.00
Space group C2/m (No. 12)
Unique sites:
Ca1 0.000 0.000 0.000 x2
Mn1 0.244 0.000 0.612 x4
Pb1 0.000 0.500 0.500 x2

Summary:
Total magnetization in μB/f.u.: 0.0
Formation energy in eV per atom: 0.531

Record 6
This record from the Alexandria database describes TaCrCl2 after structural relaxation. The functional is PBE-GGA.

a b c (Å): 5.529 5.529 9.552
angles (deg): 90.00 90.00 90.00
Space group I-42d (No. 122)
Unique sites:
Ta1 0.000 0.000 0.000 x4
Cr1 0.000 0.000 0.500 x4
Cl1 0.216 0.250 0.625 x8

Summary:
Total magnetization in μB/f.u.: 0.0
Formation energy without anion corrections in eV/f.u.: 3.093